w.
First-principles (PBE) data for an optimized crystal structure of CaSnP2O7, as listed in the Alexandria database.

Summary:
- Fermi-level density of states (states/eV per cell) = 0.0
- calculated density (g cm⁻³) = 3.69
- size of the total moment (μB/cell) = 0.000

Cell lengths 6.5659, 7.0236, 7.0551 Å; angles 86.96, 67.27, 88.57 degrees
Space group P-1 (No. 2)
Inequivalent atoms, fractional coordinates:
1 Ca 0.1865 0.3644 0.2953
2 Sn 0.2405 0.8492 0.8881
3 P 0.2769 0.3954 0.7655
4 P 0.3184 0.8517 0.3354
5 O 0.1404 0.3155 0.9842
6 O 0.1409 0.8342 0.5507
7 O 0.1454 0.4326 0.6312
8 O 0.2806 0.7261 0.1787
9 O 0.3750 0.0598 0.2514
10 O 0.4096 0.5723 0.7772
11 O 0.4541 0.2332 0.6472

x.
First-principles (PBE) data for an optimized crystal structure of CaSnP2O7, as listed in the Alexandria database.

Summary:
- Fermi-level density of states (states/eV per cell) = 0.0
- calculated density (g cm⁻³) = 3.58
- size of the total moment (μB/cell) = 0.000

Cell lengths 6.8972, 6.9704, 7.1796 Å; angles 82.28, 64.51, 84.97 degrees
Space group P-1 (No. 2)
Inequivalent atoms, fractional coordinates:
1 Ca 0.2200 0.1547 0.3532
2 Sn 0.3914 0.3141 0.7599
3 P 0.1464 0.6676 0.1851
4 P 0.2730 0.8234 0.7286
5 O 0.0916 0.3172 0.6608
6 O 0.1110 0.9024 0.6441
7 O 0.1348 0.7188 0.9566
8 O 0.2457 0.4637 0.1832
9 O 0.2818 0.8213 0.2037
10 O 0.4135 0.9759 0.7423
11 O 0.4308 0.6676 0.5978

Stability, highest: w

w.
First-principles (PBE) data for an optimized crystal structure of SrCaP2O, as listed in the Alexandria database.

Summary:
- Fermi-level density of states (states/eV per cell) = 4.2
- calculated density (g cm⁻³) = 2.47
- size of the total moment (μB/cell) = 2.410

Cell lengths 5.5588, 5.5588, 4.4664 Å; angles 90.00, 90.00, 90.00 degrees
Space group P4/mmm (No. 123)
Inequivalent atoms, fractional coordinates:
1 Sr 0.0000 0.0000 0.0000
2 Ca 0.5000 0.5000 0.5000
3 P 0.0000 0.5000 0.0000
4 O 0.0000 0.0000 0.5000

x.
First-principles (PBE) data for an optimized crystal structure of SrCaP2O, as listed in the Alexandria database.

Summary:
- Fermi-level density of states (states/eV per cell) = 3.3
- calculated density (g cm⁻³) = 2.72
- size of the total moment (μB/cell) = 2.020

Cell lengths 5.3433, 5.3433, 4.3918 Å; angles 90.00, 90.00, 90.00 degrees
Space group P4/mmm (No. 123)
Inequivalent atoms, fractional coordinates:
1 Sr 0.0000 0.0000 0.0000
2 Ca 0.5000 0.5000 0.5000
3 P 0.0000 0.5000 0.5000
4 O 0.5000 0.5000 0.0000

Stability, highest: x

w.
First-principles (PBE) data for an optimized crystal structure of CaTaP2O, as listed in the Alexandria database.

Summary:
- Fermi-level density of states (states/eV per cell) = 5.6
- calculated density (g cm⁻³) = 5.06
- size of the total moment (μB/cell) = 0.642

Cell lengths 4.9972, 4.9972, 3.9251 Å; angles 90.00, 90.00, 90.00 degrees
Space group P4/mmm (No. 123)
Inequivalent atoms, fractional coordinates:
1 Ca 0.0000 0.0000 0.0000
2 Ta 0.5000 0.5000 0.5000
3 P 0.0000 0.5000 0.0000
4 O 0.0000 0.0000 0.5000

x.
First-principles (PBE) data for an optimized crystal structure of CaTaP2O, as listed in the Alexandria database.

Summary:
- Fermi-level density of states (states/eV per cell) = 3.1
- calculated density (g cm⁻³) = 5.12
- size of the total moment (μB/cell) = 0.000

Cell lengths 4.9689, 4.9689, 3.9264 Å; angles 90.00, 90.00, 90.00 degrees
Space group P4/mmm (No. 123)
Inequivalent atoms, fractional coordinates:
1 Ca 0.0000 0.0000 0.0000
2 Ta 0.5000 0.5000 0.5000
3 P 0.0000 0.5000 0.5000
4 O 0.5000 0.5000 0.0000

Stability, highest: x

w.
First-principles (PBE) data for an optimized crystal structure of CaTcP2O, as listed in the Alexandria database.

Summary:
- Fermi-level density of states (states/eV per cell) = 4.4
- calculated density (g cm⁻³) = 3.27
- size of the total moment (μB/cell) = 2.030

Cell lengths 5.1893, 5.1893, 4.0752 Å; angles 90.00, 90.00, 90.00 degrees
Space group P4/mmm (No. 123)
Inequivalent atoms, fractional coordinates:
1 Ca 0.0000 0.0000 0.0000
2 Tc 0.5000 0.5000 0.5000
3 P 0.0000 0.5000 0.0000
4 O 0.0000 0.0000 0.5000

x.
First-principles (PBE) data for an optimized crystal structure of CaTcP2O, as listed in the Alexandria database.

Summary:
- Fermi-level density of states (states/eV per cell) = 2.2
- calculated density (g cm⁻³) = 4.03
- size of the total moment (μB/cell) = 0.000

Cell lengths 4.8439, 4.8439, 3.7905 Å; angles 90.00, 90.00, 90.00 degrees
Space group P4/mmm (No. 123)
Inequivalent atoms, fractional coordinates:
1 Ca 0.0000 0.0000 0.0000
2 Tc 0.5000 0.5000 0.5000
3 P 0.0000 0.5000 0.5000
4 O 0.5000 0.5000 0.0000

Stability, highest: x

w.
First-principles (PBE) data for an optimized crystal structure of CaTcPO2, as listed in the Alexandria database.

Summary:
- Fermi-level density of states (states/eV per cell) = 2.9
- calculated density (g cm⁻³) = 3.41
- size of the total moment (μB/cell) = 5.053

Cell lengths 4.0761, 4.0761, 5.8892 Å; angles 90.00, 90.00, 90.00 degrees
Space group P4/mmm (No. 123)
Inequivalent atoms, fractional coordinates:
1 Ca 0.0000 0.0000 0.0000
2 Tc 0.5000 0.5000 0.5000
3 P 0.0000 0.0000 0.5000
4 O 0.0000 0.5000 0.0000

x.
First-principles (PBE) data for an optimized crystal structure of CaTcPO2, as listed in the Alexandria database.

Summary:
- Fermi-level density of states (states/eV per cell) = 3.4
- calculated density (g cm⁻³) = 4.37
- size of the total moment (μB/cell) = 0.023

Cell lengths 3.9113, 3.9113, 4.9956 Å; angles 90.00, 90.00, 90.00 degrees
Space group P4/mmm (No. 123)
Inequivalent atoms, fractional coordinates:
1 Ca 0.0000 0.0000 0.0000
2 Tc 0.5000 0.5000 0.5000
3 P 0.5000 0.5000 0.0000
4 O 0.0000 0.5000 0.5000

Stability, highest: x

w.
First-principles (PBE) data for an optimized crystal structure of CaTePO2, as listed in the Alexandria database.

Summary:
- Fermi-level density of states (states/eV per cell) = 7.7
- calculated density (g cm⁻³) = 3.60
- size of the total moment (μB/cell) = 0.000

Cell lengths 4.1672, 4.1672, 6.1250 Å; angles 90.00, 90.00, 90.00 degrees
Space group P4/mmm (No. 123)
Inequivalent atoms, fractional coordinates:
1 Ca 0.0000 0.0000 0.0000
2 Te 0.5000 0.5000 0.5000
3 P 0.0000 0.0000 0.5000
4 O 0.0000 0.5000 0.0000

x.
First-principles (PBE) data for an optimized crystal structure of CaTePO2, as listed in the Alexandria database.

Summary:
- Fermi-level density of states (states/eV per cell) = 0.6
- calculated density (g cm⁻³) = 4.33
- size of the total moment (μB/cell) = 0.000

Cell lengths 4.1465, 4.1465, 5.1470 Å; angles 90.00, 90.00, 90.00 degrees
Space group P4/mmm (No. 123)
Inequivalent atoms, fractional coordinates:
1 Ca 0.0000 0.0000 0.0000
2 Te 0.5000 0.5000 0.5000
3 P 0.5000 0.5000 0.0000
4 O 0.0000 0.5000 0.5000

Stability, highest: x